(1)
Density functional theory data (PBE-GGA) for a geometry-optimized NbPtAu structure.

Crystal system: monoclinic
Formation energy (eV/f.u.): -1.07
DFT total energy (eV for the cell shown): -40.919
SG: P2_1/m (11)

a b c (Å): 2.8736 4.6229 7.8636
angles (deg): 90.00 100.39 90.00
With the nearest neighbours (Å) after each atom.
Positions (direct):
Nb1 0.0544 0.2500 0.1102  6 Pt 2.82-2.85, 4 Nb 2.87, 2 Au 2.91-2.92
Nb2 0.9456 0.7500 0.8898  6 Pt 2.82-2.85, 4 Nb 2.87, 2 Au 2.91-2.92
Pt1 0.3980 0.2500 0.7928  6 Nb 2.82-2.85, 2 Pt 2.87, 4 Au 2.92-3.10
Pt2 0.6020 0.7500 0.2072  6 Nb 2.82-2.85, 2 Pt 2.87, 4 Au 2.92-3.10
Au1 0.2813 0.7500 0.5623  6 Au 2.87-2.89, 2 Nb 2.91-2.92, 4 Pt 2.92-3.10
Au2 0.7187 0.2500 0.4377  6 Au 2.87-2.89, 2 Nb 2.91-2.92, 4 Pt 2.92-3.10

(2)
Density functional theory data (PBE-GGA) for a geometry-optimized Nb2PtAu structure.

Crystal system: tetragonal
Formation energy (eV/f.u.): 0.38
DFT total energy (eV for the cell shown): -58.157
SG: I-42d (122)

a b c (Å): 5.9381 5.9381 5.9381
angles (deg): 102.01 102.01 125.72
With the nearest neighbours (Å) after each atom.
Positions (direct):
Nb1 0.1002 0.6250 0.9752  2 Pt 2.60, 2 Nb 2.73, 2 Au 2.86
Nb2 0.3750 0.3502 0.4752  2 Pt 2.60, 2 Nb 2.73, 2 Au 2.86
Nb3 0.6498 0.1250 0.0248  2 Pt 2.60, 2 Nb 2.73, 2 Au 2.86
Nb4 0.8750 0.8998 0.5248  2 Pt 2.60, 2 Nb 2.73, 2 Au 2.86
Pt1 0.0000 0.0000 0.0000  4 Nb 2.60, 2 Au 2.71
Pt2 0.7500 0.2500 0.5000  4 Nb 2.60, 2 Au 2.71
Au1 0.2500 0.7500 0.5000  2 Pt 2.71, 4 Nb 2.86
Au2 0.5000 0.5000 0.0000  2 Pt 2.71, 4 Nb 2.86

(3)
Density functional theory data (PBE-GGA) for a geometry-optimized Nb2PtAu2 structure.

Crystal system: orthorhombic
Formation energy (eV/f.u.): -1.54
DFT total energy (eV for the cell shown): -34.271
SG: Immm (71)

a b c (Å): 7.6597 7.6597 7.6597
angles (deg): 158.24 148.74 38.41
With the nearest neighbours (Å) after each atom.
Positions (direct):
Nb1 0.0962 0.0962 0.0000  3 Nb 2.78-2.89, 4 Pt 2.88, 5 Au 2.92-2.97
Nb2 0.9038 0.9038 0.0000  3 Nb 2.78-2.89, 4 Pt 2.88, 5 Au 2.92-2.97
Pt1 0.5000 0.5000 0.0000  2 Au 2.87, 8 Nb 2.88, 2 Pt 2.89
Au1 0.3015 0.3015 0.0000  1 Pt 2.87, 6 Au 2.89-2.93, 5 Nb 2.92-2.97
Au2 0.6985 0.6985 0.0000  1 Pt 2.87, 6 Au 2.89-2.93, 5 Nb 2.92-2.97

(4)
Density functional theory data (PBE-GGA) for a geometry-optimized Nb2PtAu structure.

Crystal system: orthorhombic
Formation energy (eV/f.u.): -1.45
DFT total energy (eV for the cell shown): -30.910
SG: Cmmm (65)

a b c (Å): 5.0767 5.0767 2.8460
angles (deg): 90.00 90.00 111.35
With the nearest neighbours (Å) after each atom.
Positions (direct):
Nb1 0.0000 0.5000 0.0000  4 Nb 2.85-2.86, 4 Pt 2.91, 4 Au 2.91
Nb2 0.5000 0.0000 0.0000  4 Nb 2.85-2.86, 4 Pt 2.91, 4 Au 2.91
Pt1 0.0000 0.0000 0.5000  2 Pt 2.85, 2 Au 2.86, 8 Nb 2.91
Au1 0.5000 0.5000 0.5000  2 Au 2.85, 2 Pt 2.86, 8 Nb 2.91

(5)
Density functional theory data (PBE-GGA) for a geometry-optimized Nb2Pt2Au structure.

Crystal system: tetragonal
Formation energy (eV/f.u.): -1.47
DFT total energy (eV for the cell shown): -73.947
SG: P4/mbm (127)

a b c (Å): 8.0280 8.0280 2.8024
angles (deg): 90.00 90.00 90.00
With the nearest neighbours (Å) after each atom.
Positions (direct):
Nb1 0.1661 0.3339 0.0000  6 Pt 2.73-2.76, 2 Nb 2.80, 2 Au 2.99
Nb2 0.3339 0.8339 0.0000  6 Pt 2.73-2.76, 2 Nb 2.80, 2 Au 2.99
Nb3 0.6661 0.1661 0.0000  6 Pt 2.73-2.76, 2 Nb 2.80, 2 Au 2.99
Nb4 0.8339 0.6661 0.0000  6 Pt 2.73-2.76, 2 Nb 2.80, 2 Au 2.99
Pt1 0.1270 0.6270 0.5000  6 Nb 2.73-2.76, 3 Pt 2.80-2.88
Pt2 0.3730 0.1270 0.5000  6 Nb 2.73-2.76, 3 Pt 2.80-2.88
Pt3 0.6270 0.8730 0.5000  6 Nb 2.73-2.76, 3 Pt 2.80-2.88
Pt4 0.8730 0.3730 0.5000  6 Nb 2.73-2.76, 3 Pt 2.80-2.88
Au1 0.0000 0.0000 0.0000  2 Au 2.80, 4 Nb 2.99
Au2 0.5000 0.5000 0.0000  2 Au 2.80, 4 Nb 2.99

(6)
Density functional theory data (PBE-GGA) for a geometry-optimized Nb2Pt2Au structure.

Crystal system: tetragonal
Formation energy (eV/f.u.): -2.23
DFT total energy (eV for the cell shown): -75.448
SG: P4/mbm (127)

a b c (Å): 7.8777 7.8777 2.8415
angles (deg): 90.00 90.00 90.00
With the nearest neighbours (Å) after each atom.
Positions (direct):
Nb1 0.1704 0.3296 0.0000  6 Pt 2.68-2.75, 2 Nb 2.84
Nb2 0.3296 0.8296 0.0000  6 Pt 2.68-2.75, 2 Nb 2.84
Nb3 0.6704 0.1704 0.0000  6 Pt 2.68-2.75, 2 Nb 2.84
Nb4 0.8296 0.6704 0.0000  6 Pt 2.68-2.75, 2 Nb 2.84
Pt1 0.1253 0.6253 0.5000  6 Nb 2.68-2.75, 3 Pt 2.79-2.84
Pt2 0.3747 0.1253 0.5000  6 Nb 2.68-2.75, 3 Pt 2.79-2.84
Pt3 0.6253 0.8747 0.5000  6 Nb 2.68-2.75, 3 Pt 2.79-2.84
Pt4 0.8747 0.3747 0.5000  6 Nb 2.68-2.75, 3 Pt 2.79-2.84
Au1 0.0000 0.0000 0.5000  2 Au 2.84, 4 Pt 3.11
Au2 0.5000 0.5000 0.5000  2 Au 2.84, 4 Pt 3.11

(7)
Density functional theory data (PBE-GGA) for a geometry-optimized NbPt2Au structure.

Crystal system: tetragonal
Formation energy (eV/f.u.): -1.58
DFT total energy (eV for the cell shown): -27.012
SG: P4/mmm (123)

a b c (Å): 3.4646 3.4646 5.6398
angles (deg): 90.00 90.00 90.00
With the nearest neighbours (Å) after each atom.
Positions (direct):
Nb1 0.0000 0.0000 0.0000  8 Pt 2.81, 2 Au 2.82
Pt1 0.5000 0.5000 0.2427  2 Pt 2.74-2.90, 4 Nb 2.81, 4 Au 2.85
Pt2 0.5000 0.5000 0.7573  2 Pt 2.74-2.90, 4 Nb 2.81, 4 Au 2.85
Au1 0.0000 0.0000 0.5000  2 Nb 2.82, 8 Pt 2.85

(8)
Density functional theory data (PBE-GGA) for a geometry-optimized Nb2PtAu structure.

Crystal system: tetragonal
Formation energy (eV/f.u.): -1.42
DFT total energy (eV for the cell shown): -30.873
SG: P4/mmm (123)

a b c (Å): 4.0336 4.0336 4.1963
angles (deg): 90.00 90.00 90.00
With the nearest neighbours (Å) after each atom.
Positions (direct):
Nb1 0.0000 0.5000 0.0000  4 Nb 2.85, 4 Pt 2.91, 4 Au 2.91
Nb2 0.5000 0.0000 0.0000  4 Nb 2.85, 4 Pt 2.91, 4 Au 2.91
Pt1 0.0000 0.0000 0.5000  4 Au 2.85, 8 Nb 2.91
Au1 0.5000 0.5000 0.5000  4 Pt 2.85, 8 Nb 2.91

Copy entry 3 word for word.
Density functional theory data (PBE-GGA) for a geometry-optimized Nb2PtAu2 structure.

Crystal system: orthorhombic
Formation energy (eV/f.u.): -1.54
DFT total energy (eV for the cell shown): -34.271
SG: Immm (71)

a b c (Å): 7.6597 7.6597 7.6597
angles (deg): 158.24 148.74 38.41
With the nearest neighbours (Å) after each atom.
Positions (direct):
Nb1 0.0962 0.0962 0.0000  3 Nb 2.78-2.89, 4 Pt 2.88, 5 Au 2.92-2.97
Nb2 0.9038 0.9038 0.0000  3 Nb 2.78-2.89, 4 Pt 2.88, 5 Au 2.92-2.97
Pt1 0.5000 0.5000 0.0000  2 Au 2.87, 8 Nb 2.88, 2 Pt 2.89
Au1 0.3015 0.3015 0.0000  1 Pt 2.87, 6 Au 2.89-2.93, 5 Nb 2.92-2.97
Au2 0.6985 0.6985 0.0000  1 Pt 2.87, 6 Au 2.89-2.93, 5 Nb 2.92-2.97